The following is a GGA+U calculation of a geometry-optimized HfNpFeO6 structure, from Alexandria.

## Properties
electronic total energy = -8.99 eV/atom
D(E_F) = 0.920 states/eV/atom

Unit cell a=5.4811 b=5.4811 c=8.8696 alpha=90.00 beta=90.00 gamma=120.00
Last column: magnetic moment on the atom in μB.
Element x y z (fractional)
1 Hf 0.6667 0.3333 0.7500  0.04
2 Hf 0.3333 0.6667 0.2500  0.04
3 O 0.0025 0.3377 0.1302  0.00
4 O 0.3377 0.0025 0.6302  0.00
5 O 0.0025 0.6647 0.3698  0.00
6 O 0.6647 0.0025 0.8698  0.00
7 O 0.3353 0.9975 0.1302  0.00
8 O 0.3377 0.3353 0.8698  0.00
9 O 0.3353 0.3377 0.3698  0.00
10 O 0.6623 0.6647 0.1302  0.00
11 O 0.9975 0.3353 0.6302  0.00
12 O 0.6647 0.6623 0.6302  0.00
13 O 0.6623 0.9975 0.3698  0.00
14 O 0.9975 0.6623 0.8698  0.00
15 Np 0.3333 0.6667 0.7500  1.73
16 Np 0.6667 0.3333 0.2500  1.73
17 Fe 0.0000 0.0000 0.5000  4.15
18 Fe 0.0000 0.0000 0.0000  4.15